# 1
Tm5GaPb2: optimized geometry, PBE-GGA.

Summary:
- ΔE to the lowest computed polymorph (kJ/mol of atoms) = 45.9
- formation energy from the elements (eV per atom) = 0.024
- final energy (eV per cell) = -130.4

a = 5.717 Å, b = 15.008 Å, c = 12.462 Å
α = 90.00°, β = 90.00°, γ = 90.00°
Space group Cmcm (No. 63)
Symmetry-distinct sites (fractional):
1 Tm 0.000 0.072 0.107 x8
2 Tm 0.000 0.315 0.035 x8
3 Tm 0.000 0.323 0.750 x4
4 Ga 0.000 0.216 0.250 x4
5 Pb 0.000 0.137 0.623 x8


# 2
Tm6GaPb3: optimized geometry, PBE-GGA.

Summary:
- formation energy from the elements (eV per atom) = -0.308
- final energy (eV per cell) = -88.1

a = 10.912 Å, b = 4.431 Å, c = 13.010 Å
α = 90.00°, β = 112.80°, γ = 90.00°
Space group P2_1/m (No. 11)
Symmetry-distinct sites (fractional):
1 Tm 0.021 0.250 0.351 x2
2 Tm 0.069 0.250 0.894 x2
3 Tm 0.255 0.750 0.338 x2
4 Tm 0.350 0.750 0.785 x2
5 Tm 0.358 0.750 0.127 x2
6 Tm 0.402 0.250 0.564 x2
7 Ga 0.431 0.250 0.311 x2
8 Pb 0.142 0.250 0.150 x2
9 Pb 0.176 0.750 0.535 x2
10 Pb 0.378 0.250 0.959 x2


- formation energy from the elements of number 1 (Tm5GaPb2)?
  0.024 eV per atom